1.
First-principles (PBE) data for an optimized crystal structure of Na2AgI2, as listed in Alexandria via LeMat-Bulk.

Cell lengths 5.5719, 5.5719, 7.8557 Å; angles 69.23, 69.23, 90.00 degrees
Site moments in Bohr magnetons follow the coordinates.
Sites, in units of the cell vectors:
I  0.6520  0.6520  0.6960  0.04
I  0.3480  0.3480  0.3040  0.04
Ag  0.0000  0.0000  0.0000  0.25
Na  0.7500  0.2500  0.5000  0.00
Na  0.2500  0.7500  0.5000  0.00

E (eV per atom): -2.1907
Symmetry: No. 139



2.
First-principles (PBE) data for an optimized crystal structure of NaAg2I, as listed in Alexandria via LeMat-Bulk.

Cell lengths 5.2389, 5.2389, 5.2389 Å; angles 60.00, 60.00, 60.00 degrees
Sites, in units of the cell vectors:
Na  0.0000  0.0000  0.0000
I  0.5000  0.5000  0.5000
Ag  0.2500  0.2500  0.2500
Ag  0.7500  0.7500  0.7500

E (eV per atom): -1.9957
Symmetry: No. 225



3.
First-principles (PBE) data for an optimized crystal structure of Na4AgI5, as listed in Alexandria via LeMat-Bulk.

Cell lengths 4.5585, 4.5585, 16.3918 Å; angles 97.99, 97.99, 90.00 degrees
Sites, in units of the cell vectors:
I  0.9046  0.9046  0.8091
I  0.5000  0.5000  0.0000
I  0.6992  0.6992  0.3983
I  0.3008  0.3008  0.6017
I  0.0954  0.0954  0.1909
Na  0.8016  0.8016  0.6033
Na  0.5977  0.5977  0.1953
Na  0.4023  0.4023  0.8047
Na  0.1984  0.1984  0.3967
Ag  0.0000  0.0000  0.0000

E (eV per atom): -2.6194
Symmetry: No. 139



4.
First-principles (PBE) data for an optimized crystal structure of NaAgI2, as listed in Alexandria via LeMat-Bulk.

Cell lengths 5.5659, 5.5659, 5.5659 Å; angles 60.00, 60.00, 60.00 degrees
Sites, in units of the cell vectors:
I  0.2500  0.2500  0.2500
I  0.7500  0.7500  0.7500
Ag  0.5000  0.5000  0.5000
Na  0.0000  0.0000  0.0000

E (eV per atom): -2.2993
Symmetry: No. 225